1.
PBE TeAuN2Cl, relaxed; electronic total energy = -14.59 eV/cell; calculated volume = 26.499 Å³/atom; magnetic moment = 0.73 μB per atom; formation energy from raw total energies = 10.33 eV per formula unit; density = 4.86 g cm⁻³
1.0
-3.5744 -1.6953 0.0648
1.4039 -2.8708 2.3328
-2.0377 4.5573 6.8347
Te N Au Cl
1 2 1 1
direct
0.0000 0.0000 0.5000 Te
0.0000 0.5000 0.0000 N
0.5000 0.0000 0.0000 N
0.5000 0.5000 0.5000 Au
0.0000 0.0000 0.0000 Cl



2.
PBE Ga2Ag2Au5, relaxed; electronic total energy = -56.74 eV/cell; calculated volume = 18.807 Å³/atom; magnetic moment = 0.00 μB per atom; energy relative to the elements = -0.03 eV per atom; density = 13.15 g cm⁻³
1.0
-1.2222 -4.8759 -2.4729
3.3840 -4.1400 6.4904
-8.0809 2.0035 0.0435
Au Ga Ag
10 4 4
direct
0.7525 0.8955 0.2925 Au
0.2475 0.3970 0.2925 Au
0.7475 0.1030 0.7075 Au
0.2525 0.8970 0.2925 Au
0.5000 0.5000 0.0000 Au
0.0000 0.0000 0.0000 Au
0.2475 0.1045 0.7075 Au
0.7525 0.6030 0.7075 Au
0.7475 0.3955 0.2925 Au
0.2525 0.6045 0.7075 Au
0.4946 0.1524 0.0000 Ga
0.5054 0.8476 0.0000 Ga
0.0054 0.6524 0.0000 Ga
0.9946 0.3476 0.0000 Ga
0.0000 0.7549 0.5097 Ag
0.0000 0.2451 0.4903 Ag
0.5000 0.2549 0.5097 Ag
0.5000 0.7451 0.4903 Ag